Here is an optimized crystal structure of Ba2BeW4 from the Alexandria database. Energies are from PBE.

abc: 4.302 4.302 10.246
angles: 77.88 77.88 90.00
Fractional positions:
W: 0.102 0.102 0.796
W: 0.000 0.500 0.000
Ba: 0.332 0.332 0.336
Be: 0.000 0.000 0.000
W: 0.898 0.898 0.204
W: 0.500 0.000 0.000
Ba: 0.668 0.668 0.664

Calculated volume in Å³/cell: 181
DOS(E_F) in states/eV per cell: 6.92
ΔH_f (0 K) in eV per atom: 1.405
M_tot in μB/atom: 0.0000